(1)
Entry from Alexandria: a relaxed structure of Mg2Cd2Pb (PBE). Values from VASP.

```
&SYSTEM
  ibrav = 0, nat = 5, ntyp = 3
/
ATOMIC_SPECIES
Pb 207.20 Pb.upf
Mg 24.30 Mg.upf
Cd 112.41 Cd.upf
ATOMIC_POSITIONS crystal
Pb 0.000 0.000 0.000
Mg 0.399 0.399 0.202
Mg 0.601 0.601 0.798
Cd 0.750 0.250 0.500
Cd 0.250 0.750 0.500
CELL_PARAMETERS angstrom
-0.945 2.991 -2.763
-1.190 -2.915 -2.749
-7.913 0.328 -0.100
```

Summary:
Calculated volume   25.7 A^3/atom
Calculated total energy   -1.698 eV/atom
Space-group type   I4/mmm (139)

(2)
Entry from Alexandria: a relaxed structure of La2Sm2YHo2 (PBE). Values from VASP.

```
&SYSTEM
  ibrav = 0, nat = 7, ntyp = 4
/
ATOMIC_SPECIES
La 138.91 La.upf
Sm 150.36 Sm.upf
Y 88.91 Y.upf
Ho 164.93 Ho.upf
ATOMIC_POSITIONS crystal
La 0.142 0.284 0.426
La 0.858 0.716 0.574
Sm 0.715 0.430 0.140
Sm 0.285 0.570 0.860
Y 0.000 0.000 0.000
Ho 0.571 0.142 0.717
Ho 0.429 0.858 0.283
CELL_PARAMETERS angstrom
-3.728 1.849 3.000
4.205 -3.546 3.025
3.972 7.061 0.584
```

Summary:
Calculated volume   33.8 A^3/atom
Calculated total energy   -4.961 eV/atom
Space-group type   C2/m (12)

(3)
Entry from Alexandria: a relaxed structure of Y3Ho2TmTe6 (PBE). Values from VASP.

```
&SYSTEM
  ibrav = 0, nat = 12, ntyp = 4
/
ATOMIC_SPECIES
Y 88.91 Y.upf
Ho 164.93 Ho.upf
Tm 168.93 Tm.upf
Te 127.60 Te.upf
ATOMIC_POSITIONS crystal
Y 0.500 0.500 0.000
Y 0.832 0.167 0.663
Y 0.168 0.833 0.337
Ho 0.832 0.665 0.664
Ho 0.168 0.335 0.336
Tm 0.500 0.000 0.000
Te 0.336 0.916 0.671
Te 0.667 0.581 0.333
Te 0.664 0.084 0.329
Te 0.000 0.246 0.001
Te 0.000 0.754 0.999
Te 0.333 0.419 0.667
CELL_PARAMETERS angstrom
4.328 0.000 0.000
0.000 8.724 0.302
-2.164 -2.525 9.133
```

Summary:
Calculated volume   29.0 A^3/atom
Calculated total energy   -5.588 eV/atom
Space-group type   C2/m (12)
Formation energy from raw total energies   -15.2 eV/f.u.

(4)
Entry from Alexandria: a relaxed structure of Ta2BiBrCl (PBE). Values from VASP.

```
&SYSTEM
  ibrav = 0, nat = 5, ntyp = 4
/
ATOMIC_SPECIES
Cl 35.45 Cl.upf
Bi 208.98 Bi.upf
Br 79.90 Br.upf
Ta 180.95 Ta.upf
ATOMIC_POSITIONS crystal
Cl 0.000 0.000 0.000
Bi 0.000 0.500 0.000
Br 0.500 0.500 0.500
Ta 0.000 0.000 0.500
Ta 0.500 0.000 0.000
CELL_PARAMETERS angstrom
4.585 0.000 0.000
0.000 5.965 0.000
0.000 0.000 4.585
```

Summary:
Calculated volume   25.1 A^3/atom
Calculated total energy   -4.927 eV/atom
Space-group type   P4/mmm (123)
Formation energy from raw total energies   6.5 eV/f.u.